Sr2ZrAg: optimized geometry, GGA-PBE.

Values from the calculation:
Uncorrected energy, eV/atom: -3.183
Calculated volume, A^3/atom: 33.3
Distance to the lowest polymorph of the same formula, eV per formula unit: 1.35

Lattice parameters (Å, degrees): 8.111 8.111 8.111 90.00 90.00 90.00
Space group Fm-3m (No. 225)
Unique sites:
1 Sr 0.250 0.250 0.250
2 Zr 0.000 0.000 0.000
3 Ag 0.000 0.000 0.500

---

Ta3Ag: optimized geometry, GGA-PBE.

Values from the calculation:
Uncorrected energy, eV/atom: -9.349
Calculated volume, A^3/atom: 18.1
Distance to the lowest polymorph of the same formula, eV per formula unit: 0.55

Lattice parameters (Å, degrees): 2.776 4.770 5.553 90.00 99.33 90.00
Space group P2/m (No. 10)
Unique sites:
1 Ta 0.000 0.000 0.000
2 Ta 0.249 0.500 0.763
3 Ag 0.500 0.000 0.500

---

TaAg2: optimized geometry, GGA-PBE.

Values from the calculation:
Uncorrected energy, eV/atom: -5.565
Calculated volume, A^3/atom: 18.0

Lattice parameters (Å, degrees): 8.597 2.848 8.818 90.00 90.00 90.00
Space group Pnma (No. 62)
Unique sites:
1 Ta 0.114 0.250 0.073
2 Ag 0.127 0.250 0.414
3 Ag 0.131 0.250 0.741

---

| no. | ΔH_f (0 K) (meV per atom) |
| --- | --- |
| 1 | 507 |
| 2 | 253 |
| 3 | 286 |